Record 1
# RbBeInH2 (GGA-PBE, optimized geometry)
data_RbBeInH2
_cell_length_a 4.5982
_cell_length_b 4.5982
_cell_length_c 7.9179
_cell_angle_alpha 90.00
_cell_angle_beta 90.00
_cell_angle_gamma 90.00
_space_group_name_H-M_alt 'P 4/m m m'
_space_group_IT_number 123
_space_group_name_Hall '-P 4 2'
loop_
_atom_site_label
_atom_site_fract_x
_atom_site_fract_y
_atom_site_fract_z
Rb1 0.0000 0.0000 0.0000
Be1 0.5000 0.5000 0.5000
In1 0.0000 0.0000 0.5000
H1 0.0000 0.5000 0.0000
# **DOS at the Fermi energy**: 2.3 states/eV/cell
# **DFT total energy**: -1.58 eV/atom
# **Magnetic moment**: 0.16 μB/atom


Record 2
# YEr2Tl2Hg2 (GGA-PBE, optimized geometry)
data_YEr2Tl2Hg2
_cell_length_a 4.9762
_cell_length_b 4.9762
_cell_length_c 26.4412
_cell_angle_alpha 90.00
_cell_angle_beta 90.00
_cell_angle_gamma 120.00
_space_group_name_H-M_alt 'R -3 m'
_space_group_IT_number 166
_space_group_name_Hall '-R 3 2"'
loop_
_atom_site_label
_atom_site_fract_x
_atom_site_fract_y
_atom_site_fract_z
Y1 0.0000 0.0000 0.0000
Er1 0.0000 0.0000 0.1328
Tl1 0.0000 0.0000 0.2726
Hg1 0.0000 0.0000 0.4363
# **DOS at the Fermi energy**: 12.2 states/eV/cell
# **Energy relative to the elements**: -0.176 eV/atom
# **DFT total energy**: -3.17 eV/atom
# **Magnetic moment**: 0.00 μB/atom